No. 1
The following is a PBE calculation of Nd2Ho8Sc3 after structural relaxation, from the Alexandria database.

Calculated values
- ΔE_f (meV per atom) = 47
- total DFT energy (no corrections) (eV per atom) = -4.965
- space-group type = P-1 (2)

```
Nd2Ho8Sc3
1.0
-4.633 -0.483 -3.873
1.885 -5.741 0.024
-6.293 -4.134 8.031
Nd Ho Sc
2 8 3
Direct
0.769 0.616 0.539
0.231 0.384 0.461
0.083 0.459 0.147
0.917 0.541 0.853
0.160 0.924 0.298
0.840 0.076 0.702
0.308 0.847 0.623
0.378 0.307 0.781
0.622 0.693 0.219
0.692 0.153 0.377
0.000 0.000 0.000
0.539 0.226 0.073
0.461 0.774 0.927
```

No. 2
The following is a PBE calculation of Sm3Mg4Au4 after structural relaxation, from the Alexandria database.

Calculated values
- ΔE_f (meV per atom) = -638
- total DFT energy (no corrections) (eV per atom) = -3.696
- space-group type = Immm (71)

```
Sm3Mg4Au4
1.0
-0.813 2.483 3.099
-7.915 -0.203 -1.914
3.392 -7.285 4.077
Sm Mg Au
3 4 4
Direct
0.113 0.113 0.227
0.887 0.887 0.773
0.000 0.500 0.000
0.328 0.137 0.655
0.672 0.482 0.345
0.672 0.863 0.345
0.328 0.518 0.655
0.236 0.736 0.473
0.764 0.264 0.527
0.500 0.796 0.000
0.500 0.204 0.000
```

No. 3
The following is a PBE calculation of LiZr2Au after structural relaxation, from the Alexandria database.

Calculated values
- ΔE_f (meV per atom) = -276
- total DFT energy (no corrections) (eV per atom) = -5.848
- space-group type = P4mm (99)

```
LiZr2Au
1.0
-2.253 -2.232 1.228
2.473 -2.309 0.341
1.213 2.225 6.270
Au Zr Li
1 2 1
Direct
0.000 0.000 0.528
0.000 0.000 0.985
0.500 0.500 0.275
0.500 0.500 0.713
```

No. 4
The following is a PBE calculation of Ca2PrGa after structural relaxation, from the Alexandria database.

Calculated values
- ΔE_f (meV per atom) = -183
- total DFT energy (no corrections) (eV per atom) = -3.135
- space-group type = P4/mmm (123)

```
Ca2PrGa
1.0
-2.260 0.857 2.634
0.281 -3.310 1.318
7.603 2.872 5.590
Pr Ca Ga
1 2 1
Direct
0.500 0.500 0.500
0.000 0.000 0.803
0.000 0.000 0.197
0.500 0.500 0.000
```